# 1
The following is a DFT calculation (PBE) of a relaxed structure of BP2RhC.

a b c (Å): 5.9992 2.9394 8.2587
angles (deg): 90.00 120.37 90.00
Element x y z (fractional)
1 P 0.1686 0.0000 0.9244
2 P 0.1686 0.5000 0.4244
3 P 0.7084 0.0000 0.4213
4 P 0.7084 0.5000 0.9213
5 C 0.0511 0.0000 0.2745
6 C 0.0511 0.5000 0.7745
7 B 0.9762 0.0000 0.0662
8 B 0.9762 0.5000 0.5662
9 Rh 0.6182 0.0000 0.1103
10 Rh 0.6182 0.5000 0.6103

## Properties
The value obtained for the energy is -6.822 eV/atom. The value obtained for the formation energy is -7.2 meV per atom. The energy relative to the lowest polymorph listed for this composition comes out at 53 meV per atom. The value obtained for the mass density is 4.96 g cm⁻³.

***

# 2
The following is a DFT calculation (PBE) of a relaxed structure of BP2RhC.

a b c (Å): 5.6886 3.0212 7.3798
angles (deg): 90.00 104.42 90.00
Element x y z (fractional)
1 P 0.2770 0.0000 0.3899
2 P 0.2770 0.5000 0.8899
3 P 0.7398 0.0000 0.0132
4 P 0.7398 0.5000 0.5132
5 C 0.1263 0.0000 0.7916
6 C 0.1263 0.5000 0.2916
7 B 0.8839 0.0000 0.6366
8 B 0.8839 0.5000 0.1366
9 Rh 0.4955 0.0000 0.7041
10 Rh 0.4955 0.5000 0.2041

## Properties
The value obtained for the energy is -6.875 eV/atom. The value obtained for the formation energy is -60.5 meV per atom. The energy relative to the lowest polymorph listed for this composition comes out at 0 meV per atom. The value obtained for the mass density is 5.07 g cm⁻³.

***

# 3
The following is a DFT calculation (PBE) of a relaxed structure of BP2RhC.

a b c (Å): 3.0810 3.1057 7.2250
angles (deg): 85.41 82.04 60.56
Element x y z (fractional)
1 P 0.7666 0.7384 0.1841
2 P 0.8210 0.7872 0.8381
3 C 0.4136 0.4033 0.2369
4 B 0.5162 0.4513 0.7561
5 Rh 0.0019 0.5489 0.5073

## Properties
The value obtained for the energy is -6.517 eV/atom. The value obtained for the formation energy is 297.7 meV per atom. The energy relative to the lowest polymorph listed for this composition comes out at 358 meV per atom. The value obtained for the mass density is 5.23 g cm⁻³.

***

# 4
The following is a DFT calculation (PBE) of a relaxed structure of BP2RhC.

a b c (Å): 4.0887 2.8634 5.0204
angles (deg): 90.00 107.17 90.00
Element x y z (fractional)
1 P 0.2855 0.0000 0.1885
2 P 0.6075 0.5000 0.8207
3 C 0.5675 0.5000 0.1816
4 B 0.9377 0.0000 0.8207
5 Rh 0.0535 0.5000 0.5110

## Properties
The value obtained for the energy is -6.776 eV/atom. The value obtained for the formation energy is 38.6 meV per atom. The energy relative to the lowest polymorph listed for this composition comes out at 99 meV per atom. The value obtained for the mass density is 5.55 g cm⁻³.

***

# 5
The following is a DFT calculation (PBE) of a relaxed structure of BP2RhC.

a b c (Å): 5.3694 2.8905 8.0005
angles (deg): 90.00 97.67 90.00
Element x y z (fractional)
1 P 0.1717 0.0000 0.6446
2 P 0.1717 0.5000 0.1446
3 P 0.7211 0.0000 0.9384
4 P 0.7211 0.5000 0.4384
5 C 0.1176 0.0000 0.2635
6 C 0.1176 0.5000 0.7635
7 B 0.9763 0.0000 0.4198
8 B 0.9763 0.5000 0.9198
9 Rh 0.5357 0.0000 0.1983
10 Rh 0.5357 0.5000 0.6983

## Properties
The value obtained for the energy is -6.754 eV/atom. The value obtained for the formation energy is 60.2 meV per atom. The energy relative to the lowest polymorph listed for this composition comes out at 121 meV per atom. The value obtained for the mass density is 5.06 g cm⁻³.

***

# 6
The following is a DFT calculation (PBE) of a relaxed structure of TcBPCS.

a b c (Å): 2.8358 4.2340 6.5443
angles (deg): 103.45 102.40 90.05
Element x y z (fractional)
1 C 0.1724 0.1608 0.6635
2 P 0.0580 0.3447 0.4309
3 S 0.8801 0.7246 0.0823
4 B 0.6878 0.0295 0.6947
5 Tc 0.2377 0.6925 0.7954

## Properties
The value obtained for the energy is -6.917 eV/atom. The energy relative to the lowest polymorph listed for this composition comes out at 308 meV per atom. The value obtained for the mass density is 4.10 g cm⁻³. The value obtained for the uncorrected formation energy is 0.2442 eV per atom.

***

# 7
The following is a DFT calculation (PBE) of a relaxed structure of TcBPCS.

a b c (Å): 2.8927 4.3152 6.8777
angles (deg): 83.70 78.66 70.38
Element x y z (fractional)
1 C 0.5876 0.4733 0.5659
2 P 0.4037 0.8990 0.5046
3 S 0.6324 0.8115 0.1084
4 B 0.1470 0.3299 0.5924
5 Tc 0.8835 0.1531 0.2769

## Properties
The value obtained for the energy is -7.053 eV/atom. The energy relative to the lowest polymorph listed for this composition comes out at 171 meV per atom. The value obtained for the mass density is 3.86 g cm⁻³. The value obtained for the uncorrected formation energy is 0.1074 eV per atom.

***

# 8
The following is a DFT calculation (PBE) of a relaxed structure of TcBPCS.

a b c (Å): 5.7952 2.8881 8.1566
angles (deg): 90.00 92.82 90.00
Element x y z (fractional)
1 C 0.6404 0.0000 0.1143
2 C 0.6404 0.5000 0.6143
3 P 0.4010 0.0000 0.2455
4 P 0.4010 0.5000 0.7455
5 S 0.9825 0.0000 0.4344
6 S 0.9825 0.5000 0.9344
7 B 0.7287 0.0000 0.5723
8 B 0.7287 0.5000 0.0723
9 Tc 0.2956 0.0000 0.9581
10 Tc 0.2956 0.5000 0.4581

## Properties
The value obtained for the energy is -7.224 eV/atom. The energy relative to the lowest polymorph listed for this composition comes out at 0 meV per atom. The value obtained for the mass density is 4.48 g cm⁻³. The value obtained for the uncorrected formation energy is -0.0633 eV per atom.

***

# 9
The following is a DFT calculation (PBE) of a relaxed structure of TcBPCS.

a b c (Å): 4.0344 2.8123 7.3374
angles (deg): 90.00 91.64 90.00
Element x y z (fractional)
1 C 0.5478 0.5000 0.6642
2 P 0.2913 0.5000 0.4622
3 S 0.8209 0.0000 0.9925
4 B 0.5606 0.0000 0.7736
5 Tc 0.0647 0.5000 0.7743

## Properties
The value obtained for the energy is -6.995 eV/atom. The energy relative to the lowest polymorph listed for this composition comes out at 229 meV per atom. The value obtained for the mass density is 3.67 g cm⁻³. The value obtained for the uncorrected formation energy is 0.1661 eV per atom.

***

# 10
The following is a DFT calculation (PBE) of a relaxed structure of TcBPCS.

a b c (Å): 5.5289 2.8547 8.3293
angles (deg): 90.00 114.07 90.00
Element x y z (fractional)
1 C 0.5238 0.0000 0.1627
2 C 0.5238 0.5000 0.6627
3 P 0.3605 0.0000 0.9213
4 P 0.3605 0.5000 0.4213
5 S 0.9529 0.0000 0.5766
6 S 0.9529 0.5000 0.0766
7 B 0.5270 0.0000 0.7443
8 B 0.5270 0.5000 0.2443
9 Tc 0.9691 0.0000 0.2970
10 Tc 0.9691 0.5000 0.7970

## Properties
The value obtained for the energy is -7.164 eV/atom. The energy relative to the lowest polymorph listed for this composition comes out at 61 meV per atom. The value obtained for the mass density is 5.09 g cm⁻³. The value obtained for the uncorrected formation energy is -0.0027 eV per atom.

***

# 11
The following is a DFT calculation (PBE) of a relaxed structure of TcBPCS.

a b c (Å): 2.8724 4.1929 5.3096
angles (deg): 78.87 84.00 75.36
Element x y z (fractional)
1 C 0.1032 0.3817 0.4562
2 P 0.9007 0.7033 0.6552
3 S 0.6887 0.0393 0.1006
4 B 0.6672 0.2056 0.4347
5 Tc 0.3425 0.6219 0.0201

## Properties
The value obtained for the energy is -7.105 eV/atom. The energy relative to the lowest polymorph listed for this composition comes out at 119 meV per atom. The value obtained for the mass density is 5.04 g cm⁻³. The value obtained for the uncorrected formation energy is 0.0560 eV per atom.

***

# 12
The following is a DFT calculation (PBE) of a relaxed structure of TcBPCS.

a b c (Å): 5.9774 2.8026 7.8160
angles (deg): 90.00 95.36 90.00
Element x y z (fractional)
1 C 0.3932 0.0000 0.8713
2 C 0.3932 0.5000 0.3713
3 P 0.5412 0.0000 0.6862
4 P 0.5412 0.5000 0.1862
5 S 0.9451 0.0000 0.9854
6 S 0.9451 0.5000 0.4854
7 B 0.3659 0.0000 0.4556
8 B 0.3659 0.5000 0.9556
9 Tc 0.0878 0.0000 0.7048
10 Tc 0.0878 0.5000 0.2048

## Properties
The value obtained for the energy is -6.912 eV/atom. The energy relative to the lowest polymorph listed for this composition comes out at 313 meV per atom. The value obtained for the mass density is 4.68 g cm⁻³. The value obtained for the uncorrected formation energy is 0.2493 eV per atom.

***

Question: What is the energy relative to the lowest polymorph listed for this composition in the sixth record?
Answer: 308 meV per atom

***

Question: What is the energy in the eleventh record?
Answer: -7.105 eV/atom

***

Copy entry 10 word for word.
The following is a DFT calculation (PBE) of a relaxed structure of TcBPCS.

a b c (Å): 5.5289 2.8547 8.3293
angles (deg): 90.00 114.07 90.00
Element x y z (fractional)
1 C 0.5238 0.0000 0.1627
2 C 0.5238 0.5000 0.6627
3 P 0.3605 0.0000 0.9213
4 P 0.3605 0.5000 0.4213
5 S 0.9529 0.0000 0.5766
6 S 0.9529 0.5000 0.0766
7 B 0.5270 0.0000 0.7443
8 B 0.5270 0.5000 0.2443
9 Tc 0.9691 0.0000 0.2970
10 Tc 0.9691 0.5000 0.7970

## Properties
The value obtained for the energy is -7.164 eV/atom. The energy relative to the lowest polymorph listed for this composition comes out at 61 meV per atom. The value obtained for the mass density is 5.09 g cm⁻³. The value obtained for the uncorrected formation energy is -0.0027 eV per atom.

***

Question: The highest mass density belongs to which entry?
Answer: number 4